## HfCoSbOs (PBE)

Data for a geometry-optimized HfCoSbOs structure.

```
data_HfCoSbOs
_chemical_formula_sum 'Hf1 Co1 Sb1 Os1'
_cell_length_a 4.534
_cell_length_b 4.534
_cell_length_c 4.534
_cell_angle_alpha 60.00
_cell_angle_beta 60.00
_cell_angle_gamma 60.00
_symmetry_space_group_name_H-M 'P 1'
_symmetry_Int_Tables_number 1
loop_
_symmetry_equiv_pos_as_xyz
'x,y,z'
loop_
_atom_site_label
_atom_site_type_symbol
_atom_site_fract_x
_atom_site_fract_y
_atom_site_fract_z
Co1 Co 0.750 0.750 0.750
Sb1 Sb 0.000 0.000 0.000
Os1 Os 0.250 0.250 0.250
Hf1 Hf 0.500 0.500 0.500
```

Calculated values
Total magnetization = 1.97 μB per cell
Total DFT energy (no corrections) = -33.1 eV for the cell shown
E above lowest polymorph = 0.00 kJ/mol of atoms
SG = F-43m, No. 216